Model a:
# PBE Mg2Tl2Pb7, relaxed
data_Mg2Tl2Pb7
_cell_length_a 4.9902
_cell_length_b 15.2972
_cell_length_c 8.7224
_cell_angle_alpha 90.00
_cell_angle_beta 90.00
_cell_angle_gamma 90.00
_space_group_name_H-M_alt 'I m m 2'
_space_group_IT_number 44
loop_
_space_group_symop_operation_xyz
'x,y,z'
'-x,-y,z'
'-x,y,z'
'x,-y,z'
'x+1/2,y+1/2,z+1/2'
'-x+1/2,-y+1/2,z+1/2'
'-x+1/2,y+1/2,z+1/2'
'x+1/2,-y+1/2,z+1/2'
loop_
_atom_site_label
_atom_site_fract_x
_atom_site_fract_y
_atom_site_fract_z
Mg1 0.0000 0.1924 0.0000
Tl1 0.0000 0.0000 0.8145
Tl2 0.0000 0.5000 0.0114
Pb1 0.0000 0.0000 0.2062
Pb2 0.0000 0.1537 0.5051
Pb3 0.0000 0.3335 0.2796
Pb4 0.0000 0.3456 0.7205
# * volume: 666 Å³/cell
# * magnetic moment: 0.000 μB per formula unit

=====

Model b:
# PBE Mg2Tl2Pb7, relaxed
data_Mg2Tl2Pb7
_cell_length_a 10.0814
_cell_length_b 11.5818
_cell_length_c 6.2317
_cell_angle_alpha 90.00
_cell_angle_beta 111.89
_cell_angle_gamma 90.00
_space_group_name_H-M_alt 'C 1 2/m 1'
_space_group_IT_number 12
loop_
_space_group_symop_operation_xyz
'x,y,z'
'-x,-y,-z'
'-x,y,-z'
'x,-y,z'
'x+1/2,y+1/2,z'
'-x+1/2,-y+1/2,-z'
'-x+1/2,y+1/2,-z'
'x+1/2,-y+1/2,z'
loop_
_atom_site_label
_atom_site_fract_x
_atom_site_fract_y
_atom_site_fract_z
Mg1 0.0000 0.2499 0.0000
Tl1 0.1020 0.0000 0.3105
Pb1 0.0000 0.5000 0.5000
Pb2 0.1725 0.2507 0.6868
Pb3 0.1818 0.5000 0.0793
# * volume: 675 Å³/cell
# * magnetic moment: 0.000 μB per formula unit

=====

Which structure wins on stability? model a wins.

=====

Model a:
# PBE Mg3TlPb4, relaxed
data_Mg3TlPb4
_cell_length_a 3.5813
_cell_length_b 5.5833
_cell_length_c 11.0758
_cell_angle_alpha 90.00
_cell_angle_beta 90.00
_cell_angle_gamma 90.00
_space_group_name_H-M_alt 'P m m m'
_space_group_IT_number 47
loop_
_space_group_symop_operation_xyz
'x,y,z'
'-x,-y,-z'
'-x,-y,z'
'x,y,-z'
'x,-y,-z'
'-x,y,z'
'-x,y,-z'
'x,-y,z'
loop_
_atom_site_label
_atom_site_fract_x
_atom_site_fract_y
_atom_site_fract_z
Mg1 0.0000 0.0000 0.0000
Mg2 0.0000 0.5000 0.2505
Tl1 0.0000 0.0000 0.5000
Pb1 0.5000 0.0000 0.2323
Pb2 0.5000 0.5000 0.0000
Pb3 0.5000 0.5000 0.5000
# * volume: 221 Å³/cell
# * magnetic moment: 0.000 μB per formula unit

=====

Model b:
# PBE Mg3TlPb4, relaxed
data_Mg3TlPb4
_cell_length_a 3.6090
_cell_length_b 5.0312
_cell_length_c 12.3000
_cell_angle_alpha 90.00
_cell_angle_beta 90.00
_cell_angle_gamma 90.00
_space_group_name_H-M_alt 'P m m 2'
_space_group_IT_number 25
loop_
_space_group_symop_operation_xyz
'x,y,z'
'-x,-y,z'
'-x,y,z'
'x,-y,z'
loop_
_atom_site_label
_atom_site_fract_x
_atom_site_fract_y
_atom_site_fract_z
Mg1 0.0000 0.0000 0.0000
Mg2 0.0000 0.5000 0.1501
Mg3 0.5000 0.0000 0.4935
Tl1 0.5000 0.5000 0.6444
Pb1 0.0000 0.0000 0.7475
Pb2 0.0000 0.5000 0.3985
Pb3 0.5000 0.0000 0.2274
Pb4 0.5000 0.5000 0.9297
# * volume: 223 Å³/cell
# * magnetic moment: 0.000 μB per formula unit

=====

Which structure wins on stability? model a wins.

=====

Model a:
# PBE Mg12Tl2Pb5, relaxed
data_Mg12Tl2Pb5
_cell_length_a 14.6420
_cell_length_b 9.0048
_cell_length_c 7.3984
_cell_angle_alpha 90.00
_cell_angle_beta 90.09
_cell_angle_gamma 90.00
_space_group_name_H-M_alt 'C 1 2/m 1'
_space_group_IT_number 12
loop_
_space_group_symop_operation_xyz
'x,y,z'
'-x,-y,-z'
'-x,y,-z'
'x,-y,z'
'x+1/2,y+1/2,z'
'-x+1/2,-y+1/2,-z'
'-x+1/2,y+1/2,-z'
'x+1/2,-y+1/2,z'
loop_
_atom_site_label
_atom_site_fract_x
_atom_site_fract_y
_atom_site_fract_z
Mg1 0.0541 0.0000 0.3131
Mg2 0.0931 0.5000 0.8895
Mg3 0.1169 0.2035 0.6459
Mg4 0.1544 0.3102 0.2439
Tl1 0.0000 0.2075 0.0000
Pb1 0.0000 0.5000 0.5000
Pb2 0.2011 0.0000 0.9604
Pb3 0.2417 0.5000 0.5785
# * volume: 975 Å³/cell
# * magnetic moment: 0.000 μB per formula unit

=====

Model b:
# PBE Mg12Tl2Pb5, relaxed
data_Mg12Tl2Pb5
_cell_length_a 17.1294
_cell_length_b 6.3707
_cell_length_c 10.0234
_cell_angle_alpha 90.00
_cell_angle_beta 104.90
_cell_angle_gamma 90.00
_space_group_name_H-M_alt 'C 1 2/m 1'
_space_group_IT_number 12
loop_
_space_group_symop_operation_xyz
'x,y,z'
'-x,-y,-z'
'-x,y,-z'
'x,-y,z'
'x+1/2,y+1/2,z'
'-x+1/2,-y+1/2,-z'
'-x+1/2,y+1/2,-z'
'x+1/2,-y+1/2,z'
loop_
_atom_site_label
_atom_site_fract_x
_atom_site_fract_y
_atom_site_fract_z
Mg1 0.0099 0.0000 0.3535
Mg2 0.1023 0.5000 0.2910
Mg3 0.1571 0.2489 0.6016
Mg4 0.1940 0.2602 0.1079
Tl1 0.0000 0.2499 0.0000
Pb1 0.0000 0.5000 0.5000
Pb2 0.1473 0.0000 0.8545
Pb3 0.1842 0.0000 0.3545
# * volume: 1057 Å³/cell
# * magnetic moment: 0.000 μB per formula unit

=====

Which structure wins on stability? model a wins.

=====

Model a:
# PBE Mg6Tl3Pb, relaxed
data_Mg6Tl3Pb
_cell_length_a 8.9346
_cell_length_b 5.1883
_cell_length_c 11.0797
_cell_angle_alpha 90.00
_cell_angle_beta 106.32
_cell_angle_gamma 90.00
_space_group_name_H-M_alt 'P 1 21/m 1'
_space_group_IT_number 11
loop_
_space_group_symop_operation_xyz
'x,y,z'
'-x,-y,-z'
'-x,y+1/2,-z'
'x,-y+1/2,z'
loop_
_atom_site_label
_atom_site_fract_x
_atom_site_fract_y
_atom_site_fract_z
Mg1 0.0520 0.2500 0.4063
Mg2 0.1430 0.7500 0.1987
Mg3 0.2489 0.2500 0.9920
Mg4 0.3434 0.7500 0.7988
Mg5 0.3477 0.2500 0.2942
Mg6 0.4395 0.2500 0.5942
Tl1 0.0353 0.7500 0.8906
Tl2 0.1480 0.2500 0.6981
Tl3 0.2652 0.7500 0.4936
Pb1 0.4430 0.7500 0.1111
# * volume: 493 Å³/cell
# * magnetic moment: 0.000 μB per formula unit

=====

Model b:
# PBE Mg6Tl3Pb, relaxed
data_Mg6Tl3Pb
_cell_length_a 10.8760
_cell_length_b 10.8760
_cell_length_c 10.8760
_cell_angle_alpha 90.00
_cell_angle_beta 90.00
_cell_angle_gamma 90.00
_space_group_name_H-M_alt 'F m -3 m'
_space_group_IT_number 225
_space_group_name_Hall '-F 4 2 3'
loop_
_atom_site_label
_atom_site_fract_x
_atom_site_fract_y
_atom_site_fract_z
Mg1 0.0000 0.0000 0.2467
Tl1 0.0000 0.0000 0.0000
Tl2 0.2500 0.2500 0.2500
Pb1 0.0000 0.0000 0.5000
# * volume: 1286 Å³/cell
# * magnetic moment: 0.000 μB per formula unit

=====

Which structure wins on stability? model a wins.

=====

Model a:
# PBE Mg4TlPb, relaxed
data_Mg4TlPb
_cell_length_a 8.4895
_cell_length_b 8.4895
_cell_length_c 8.4895
_cell_angle_alpha 90.00
_cell_angle_beta 90.00
_cell_angle_gamma 90.00
_space_group_name_H-M_alt 'F -4 3 m'
_space_group_IT_number 216
_space_group_name_Hall 'F -4 2 3'
loop_
_atom_site_label
_atom_site_fract_x
_atom_site_fract_y
_atom_site_fract_z
Mg1 0.1249 0.1249 0.1249
Tl1 0.0000 0.0000 0.5000
Pb1 0.2500 0.2500 0.7500
# * volume: 612 Å³/cell
# * magnetic moment: 0.000 μB per formula unit

=====

Model b:
# PBE Mg4TlPb, relaxed
data_Mg4TlPb
_cell_length_a 10.6625
_cell_length_b 3.4528
_cell_length_c 8.8611
_cell_angle_alpha 90.00
_cell_angle_beta 115.13
_cell_angle_gamma 90.00
_space_group_name_H-M_alt 'C 1 2/m 1'
_space_group_IT_number 12
loop_
_space_group_symop_operation_xyz
'x,y,z'
'-x,-y,-z'
'-x,y,-z'
'x,-y,z'
'x+1/2,y+1/2,z'
'-x+1/2,-y+1/2,-z'
'-x+1/2,y+1/2,-z'
'x+1/2,-y+1/2,z'
loop_
_atom_site_label
_atom_site_fract_x
_atom_site_fract_y
_atom_site_fract_z
Mg1 0.1664 0.0000 0.3292
Mg2 0.1661 0.0000 0.8370
Tl1 0.0000 0.5000 0.0000
Pb1 0.0000 0.5000 0.5000
# * volume: 295 Å³/cell
# * magnetic moment: 0.000 μB per formula unit

=====

Which structure wins on stability? model b wins.

=====

Model a:
# PBE Mg3TlPb, relaxed
data_Mg3TlPb
_cell_length_a 5.3422
_cell_length_b 5.3422
_cell_length_c 5.3422
_cell_angle_alpha 90.00
_cell_angle_beta 90.00
_cell_angle_gamma 90.00
_space_group_name_H-M_alt 'P m -3 m'
_space_group_IT_number 221
_space_group_name_Hall '-P 4 2 3'
loop_
_atom_site_label
_atom_site_fract_x
_atom_site_fract_y
_atom_site_fract_z
Mg1 0.0000 0.0000 0.5000
Tl1 0.0000 0.0000 0.0000
Pb1 0.5000 0.5000 0.5000
# * volume: 152 Å³/cell
# * magnetic moment: 0.000 μB per formula unit

=====

Model b:
# PBE Mg3TlPb, relaxed
data_Mg3TlPb
_cell_length_a 5.3456
_cell_length_b 5.4904
_cell_length_c 8.9930
_cell_angle_alpha 91.42
_cell_angle_beta 106.08
_cell_angle_gamma 91.44
_space_group_name_H-M_alt 'P -1'
_space_group_IT_number 2
loop_
_space_group_symop_operation_xyz
'x,y,z'
'-x,-y,-z'
loop_
_atom_site_label
_atom_site_fract_x
_atom_site_fract_y
_atom_site_fract_z
Mg1 0.0572 0.2475 0.2946
Mg2 0.1369 0.7478 0.1077
Mg3 0.3439 0.7456 0.5006
Tl1 0.2335 0.2483 0.6674
Pb1 0.4603 0.2523 0.1066
# * volume: 253 Å³/cell
# * magnetic moment: 0.000 μB per formula unit

=====

Which structure wins on stability? model b wins.

=====

Model a:
# PBE Mg2TlPb8, relaxed
data_Mg2TlPb8
_cell_length_a 17.6795
_cell_length_b 4.8689
_cell_length_c 8.0355
_cell_angle_alpha 90.00
_cell_angle_beta 108.78
_cell_angle_gamma 90.00
_space_group_name_H-M_alt 'C 1 2/m 1'
_space_group_IT_number 12
loop_
_space_group_symop_operation_xyz
'x,y,z'
'-x,-y,-z'
'-x,y,-z'
'x,-y,z'
'x+1/2,y+1/2,z'
'-x+1/2,-y+1/2,-z'
'-x+1/2,y+1/2,-z'
'x+1/2,-y+1/2,z'
loop_
_atom_site_label
_atom_site_fract_x
_atom_site_fract_y
_atom_site_fract_z
Mg1 0.2270 0.0000 0.1352
Tl1 0.0000 0.5000 0.5000
Pb1 0.0437 0.0000 0.2242
Pb2 0.1013 0.5000 0.9637
Pb3 0.1462 0.0000 0.7029
Pb4 0.1829 0.5000 0.4094
# * volume: 655 Å³/cell
# * magnetic moment: 0.000 μB per formula unit

=====

Model b:
# PBE Mg2TlPb8, relaxed
data_Mg2TlPb8
_cell_length_a 8.9018
_cell_length_b 13.7336
_cell_length_c 5.9591
_cell_angle_alpha 90.00
_cell_angle_beta 111.59
_cell_angle_gamma 90.00
_space_group_name_H-M_alt 'C 1 2/m 1'
_space_group_IT_number 12
loop_
_space_group_symop_operation_xyz
'x,y,z'
'-x,-y,-z'
'-x,y,-z'
'x,-y,z'
'x+1/2,y+1/2,z'
'-x+1/2,-y+1/2,-z'
'-x+1/2,y+1/2,-z'
'x+1/2,-y+1/2,z'
loop_
_atom_site_label
_atom_site_fract_x
_atom_site_fract_y
_atom_site_fract_z
Mg1 0.0000 0.1870 0.0000
Tl1 0.0000 0.5000 0.5000
Pb1 0.0000 0.2622 0.5000
Pb2 0.1042 0.0000 0.3214
Pb3 0.2067 0.3791 0.1262
# * volume: 677 Å³/cell
# * magnetic moment: 0.000 μB per formula unit

=====

Which structure wins on stability? model a wins.

=====

Model a:
# PBE Mg7Tl2Pb, relaxed
data_Mg7Tl2Pb
_cell_length_a 4.8899
_cell_length_b 4.8899
_cell_length_c 21.2668
_cell_angle_alpha 90.00
_cell_angle_beta 90.00
_cell_angle_gamma 90.00
_space_group_name_H-M_alt 'I 4/m m m'
_space_group_IT_number 139
_space_group_name_Hall '-I 4 2'
loop_
_atom_site_label
_atom_site_fract_x
_atom_site_fract_y
_atom_site_fract_z
Mg1 0.0000 0.0000 0.0000
Mg2 0.0000 0.5000 0.0950
Mg3 0.0000 0.5000 0.2500
Tl1 0.0000 0.0000 0.1717
Pb1 0.0000 0.0000 0.5000
# * volume: 509 Å³/cell
# * magnetic moment: 0.000 μB per formula unit

=====

Model b:
# PBE Mg7Tl2Pb, relaxed
data_Mg7Tl2Pb
_cell_length_a 10.8582
_cell_length_b 10.8582
_cell_length_c 10.8582
_cell_angle_alpha 90.00
_cell_angle_beta 90.00
_cell_angle_gamma 90.00
_space_group_name_H-M_alt 'F m -3 m'
_space_group_IT_number 225
_space_group_name_Hall '-F 4 2 3'
loop_
_atom_site_label
_atom_site_fract_x
_atom_site_fract_y
_atom_site_fract_z
Mg1 0.0000 0.0000 0.0000
Mg2 0.0000 0.0000 0.2453
Tl1 0.2500 0.2500 0.2500
Pb1 0.0000 0.0000 0.5000
# * volume: 1280 Å³/cell
# * magnetic moment: 0.000 μB per formula unit

=====

Which structure wins on stability? model a wins.

=====

Model a:
# PBE Mg12Tl5Pb2, relaxed
data_Mg12Tl5Pb2
_cell_length_a 16.6969
_cell_length_b 6.4900
_cell_length_c 9.6298
_cell_angle_alpha 90.00
_cell_angle_beta 102.96
_cell_angle_gamma 90.00
_space_group_name_H-M_alt 'C 1 2/m 1'
_space_group_IT_number 12
loop_
_space_group_symop_operation_xyz
'x,y,z'
'-x,-y,-z'
'-x,y,-z'
'x,-y,z'
'x+1/2,y+1/2,z'
'-x+1/2,-y+1/2,-z'
'-x+1/2,y+1/2,-z'
'x+1/2,-y+1/2,z'
loop_
_atom_site_label
_atom_site_fract_x
_atom_site_fract_y
_atom_site_fract_z
Mg1 0.0240 0.0000 0.3284
Mg2 0.0973 0.5000 0.2912
Mg3 0.1407 0.2461 0.6101
Mg4 0.1986 0.2508 0.1248
Tl1 0.0000 0.5000 0.5000
Tl2 0.1449 0.0000 0.8679
Tl3 0.2105 0.0000 0.4004
Pb1 0.0000 0.2505 0.0000
# * volume: 1017 Å³/cell
# * magnetic moment: 0.000 μB per formula unit

=====

Model b:
# PBE Mg12Tl5Pb2, relaxed
data_Mg12Tl5Pb2
_cell_length_a 14.5571
_cell_length_b 9.1853
_cell_length_c 7.1672
_cell_angle_alpha 90.00
_cell_angle_beta 93.96
_cell_angle_gamma 90.00
_space_group_name_H-M_alt 'C 1 2/m 1'
_space_group_IT_number 12
loop_
_space_group_symop_operation_xyz
'x,y,z'
'-x,-y,-z'
'-x,y,-z'
'x,-y,z'
'x+1/2,y+1/2,z'
'-x+1/2,-y+1/2,-z'
'-x+1/2,y+1/2,-z'
'x+1/2,-y+1/2,z'
loop_
_atom_site_label
_atom_site_fract_x
_atom_site_fract_y
_atom_site_fract_z
Mg1 0.0455 0.0000 0.2713
Mg2 0.1017 0.2201 0.6009
Mg3 0.1457 0.5000 0.8757
Mg4 0.1951 0.2591 0.2016
Tl1 0.0000 0.5000 0.5000
Tl2 0.1638 0.0000 0.9146
Tl3 0.2428 0.5000 0.5158
Pb1 0.0000 0.2810 0.0000
# * volume: 956 Å³/cell
# * magnetic moment: 0.000 μB per formula unit

=====

Which structure wins on stability? model b wins.

=====

Model a:
# PBE MgTl3Pb, relaxed
data_MgTl3Pb
_cell_length_a 10.4210
_cell_length_b 10.3120
_cell_length_c 6.2400
_cell_angle_alpha 90.00
_cell_angle_beta 113.53
_cell_angle_gamma 90.00
_space_group_name_H-M_alt 'C 1 2/m 1'
_space_group_IT_number 12
loop_
_space_group_symop_operation_xyz
'x,y,z'
'-x,-y,-z'
'-x,y,-z'
'x,-y,z'
'x+1/2,y+1/2,z'
'-x+1/2,-y+1/2,-z'
'-x+1/2,y+1/2,-z'
'x+1/2,-y+1/2,z'
loop_
_atom_site_label
_atom_site_fract_x
_atom_site_fract_y
_atom_site_fract_z
Mg1 0.2421 0.0000 0.4768
Tl1 0.0680 0.5000 0.7950
Tl2 0.1703 0.2548 0.1912
Pb1 0.0847 0.0000 0.8123
# * volume: 615 Å³/cell
# * magnetic moment: 0.000 μB per formula unit

=====

Model b:
# PBE MgTl3Pb, relaxed
data_MgTl3Pb
_cell_length_a 19.9790
_cell_length_b 3.4946
_cell_length_c 8.8528
_cell_angle_alpha 90.00
_cell_angle_beta 101.84
_cell_angle_gamma 90.00
_space_group_name_H-M_alt 'C 1 2/m 1'
_space_group_IT_number 12
loop_
_space_group_symop_operation_xyz
'x,y,z'
'-x,-y,-z'
'-x,y,-z'
'x,-y,z'
'x+1/2,y+1/2,z'
'-x+1/2,-y+1/2,-z'
'-x+1/2,y+1/2,-z'
'x+1/2,-y+1/2,z'
loop_
_atom_site_label
_atom_site_fract_x
_atom_site_fract_y
_atom_site_fract_z
Mg1 0.0747 0.0000 0.4816
Tl1 0.0921 0.0000 0.0950
Tl2 0.1869 0.5000 0.4016
Tl3 0.2017 0.0000 0.8221
Pb1 0.0388 0.5000 0.7562
# * volume: 605 Å³/cell
# * magnetic moment: 0.000 μB per formula unit

=====

Model c:
# PBE MgTl3Pb, relaxed
data_MgTl3Pb
_cell_length_a 5.5127
_cell_length_b 5.5127
_cell_length_c 5.5127
_cell_angle_alpha 90.00
_cell_angle_beta 90.00
_cell_angle_gamma 90.00
_space_group_name_H-M_alt 'P m -3 m'
_space_group_IT_number 221
_space_group_name_Hall '-P 4 2 3'
loop_
_atom_site_label
_atom_site_fract_x
_atom_site_fract_y
_atom_site_fract_z
Mg1 0.0000 0.0000 0.0000
Tl1 0.0000 0.0000 0.5000
Pb1 0.5000 0.5000 0.5000
# * volume: 168 Å³/cell
# * magnetic moment: 0.000 μB per formula unit

=====

Which structure wins on stability? model b wins.